Entry 1:
## ReGe2Ru (PBE-GGA)

Data for a geometry-optimized ReGe2Ru structure.

```
4
Lattice="0.0000 3.0626 3.0626 3.0626 0.0000 3.0626 3.0626 3.0626 0.0000" Properties=species:S:1:pos:R:3 pbc="T T T"
Re 0.0000 0.0000 0.0000
Ge 1.5313 1.5313 1.5313
Ge 4.5939 4.5939 4.5939
Ru 3.0626 3.0626 3.0626
```

Calculated values
Its density of states at the Fermi level is 0.72 states/eV per atom. The formation energy from the elements is 43 meV per atom. The symmetry is No. 225. The calculated density comes out at 12.50 g/cm³. For the calculated volume, the calculation gives 57.4 Å³ per cell.

Entry 2:
## Tb2Sm3Ho3 (PBE-GGA)

Data for a geometry-optimized Tb2Sm3Ho3 structure.

```
8
Lattice="-2.9725 2.9762 7.3229 2.9725 -2.9762 7.3229 2.9725 2.9762 -7.3229" Properties=species:S:1:pos:R:3 pbc="T T T"
Tb 0.0000 0.0000 3.6483
Tb 0.0000 0.0000 10.9976
Sm 2.9725 0.0000 1.8552
Sm 0.0000 0.0000 7.3229
Sm 0.0000 2.9762 5.4677
Ho 0.0000 0.0000 0.0000
Ho 2.9725 0.0000 5.4996
Ho 0.0000 2.9762 1.8233
```

Calculated values
Its density of states at the Fermi level is 2.10 states/eV per atom. The formation energy from the elements is 124 meV per atom. The symmetry is No. 71. The calculated density comes out at 8.10 g/cm³. For the calculated volume, the calculation gives 259.1 Å³ per cell.

Entry 3:
## IrBrCl2 (PBE-GGA)

Data for a geometry-optimized IrBrCl2 structure.

```
4
Lattice="5.2004 0.0000 0.0000 0.0000 5.2004 0.0000 0.0000 0.0000 2.9775" Properties=species:S:1:pos:R:3 pbc="T T T"
Ir 0.0000 0.0000 0.0000
Br 2.6002 2.6002 0.0000
Cl 0.0000 2.6002 1.4888
Cl 2.6002 0.0000 1.4888
```

Calculated values
Its density of states at the Fermi level is 1.42 states/eV per atom. The symmetry is No. 123. The calculated density comes out at 7.07 g/cm³. For the formation energy (no corrections), the calculation gives 1.221 eV per atom. For the calculated volume, the calculation gives 80.5 Å³ per cell.

Entry 4:
## RbLi4Pu3Br12 (PBE-GGA)

Data for a geometry-optimized RbLi4Pu3Br12 structure.

```
20
Lattice="7.7744 4.4886 3.5574 -7.7744 4.4886 3.5574 0.0000 -8.9772 3.5574" Properties=species:S:1:pos:R:3 pbc="T T T"
Rb 0.0000 0.0000 0.0000
Li -3.3581 -5.8163 5.3361
Li 0.0000 0.0000 5.3361
Li -3.3581 5.8163 5.3361
Li 6.7161 0.0000 5.3361
Pu -4.3632 -1.4198 3.5574
Pu -4.3632 1.4198 7.1148
Pu 0.9520 4.4886 3.5574
Br -4.7804 -3.8108 5.1999
Br -6.3194 0.0000 5.3361
Br -0.9100 -6.0454 5.4723
Br -2.4498 0.0000 5.3361
Br -4.7804 3.8108 5.4723
Br 3.1597 -5.4728 5.3361
Br 1.2249 -2.1216 5.3361
Br -0.9100 6.0454 5.1999
Br 1.2249 2.1216 5.3361
Br 5.6905 -2.2346 5.1999
Br 3.1597 5.4728 5.3361
Br 5.6905 2.2346 5.4723
```

Calculated values
Its density of states at the Fermi level is 2.33 states/eV per atom. The symmetry is No. 155. The calculated density comes out at 4.02 g/cm³. For the formation energy (no corrections), the calculation gives -1.500 eV per atom. For the calculated volume, the calculation gives 744.8 Å³ per cell.

Entry 5:
## In11AgHg17 (PBE-GGA)

Data for a geometry-optimized In11AgHg17 structure.

```
29
Lattice="7.3817 0.0000 0.0000 -0.9220 10.0204 0.0000 -0.2537 -4.5383 10.5253" Properties=species:S:1:pos:R:3 pbc="T T T"
In 0.0000 0.0000 0.0000
In -0.2808 -1.8799 8.9494
In 0.5547 4.7638 3.3854
In 2.1165 1.9883 1.4294
In 3.6225 0.5179 4.2373
In 3.3113 6.9532 6.5328
In 3.7010 9.4410 1.2637
In 4.2801 4.3300 8.2969
In 5.2811 6.1371 4.3013
In 5.8750 3.0875 5.6157
In 6.1376 6.8601 1.2413
Ag 3.5549 1.8236 6.8661
Hg -0.6766 1.9250 8.6686
Hg -0.5646 5.7889 7.0703
Hg 0.8621 1.1646 5.7007
Hg 1.1620 4.7808 0.3451
Hg 0.8106 8.9040 2.2834
Hg 1.7302 -2.1353 5.1842
Hg 1.2808 4.1300 9.2732
Hg 1.9627 4.1730 6.0140
Hg 2.3056 -0.5752 8.0229
Hg 2.8907 6.6020 2.4048
Hg 3.6309 -3.0099 9.5226
Hg 3.4383 1.7413 9.8650
Hg 3.7213 3.5997 3.3865
Hg 5.2678 3.8134 0.5859
Hg 5.5388 -0.3526 6.9352
Hg 6.4096 -0.8780 3.9651
Hg 6.6469 1.9305 2.6739
```

Calculated values
Its density of states at the Fermi level is 0.33 states/eV per atom. The formation energy from the elements is 27 meV per atom. The symmetry is No. 1. The calculated density comes out at 10.20 g/cm³. For the calculated volume, the calculation gives 778.5 Å³ per cell.

Entry 6:
## TbTm2Tl3 (PBE-GGA)

Data for a geometry-optimized TbTm2Tl3 structure.

```
6
Lattice="3.6366 0.0000 0.0000 0.0000 3.6366 0.0000 0.0000 0.0000 12.2048" Properties=species:S:1:pos:R:3 pbc="T T T"
Tb 0.0000 0.0000 0.0000
Tm 0.0000 0.0000 4.0876
Tm 0.0000 0.0000 8.1172
Tl 1.8183 1.8183 2.0797
Tl 1.8183 1.8183 6.1024
Tl 1.8183 1.8183 10.1252
```

Calculated values
Its density of states at the Fermi level is 0.71 states/eV per atom. The formation energy from the elements is -319 meV per atom. The symmetry is No. 123. The calculated density comes out at 11.42 g/cm³. For the calculated volume, the calculation gives 161.4 Å³ per cell.

Entry 7:
## Ti6Bi3H (PBE-GGA)

Data for a geometry-optimized Ti6Bi3H structure.

```
20
Lattice="5.4935 -6.9378 0.0000 5.4935 6.9378 0.0000 0.0000 0.0000 4.6648" Properties=species:S:1:pos:R:3 pbc="T T T"
Ti 5.4935 5.9743 2.3324
Ti 3.6645 3.6368 2.3563
Ti 3.6634 1.0346 0.0174
Ti 5.4935 3.2815 0.0496
Ti 7.3224 3.6368 2.3563
Ti 3.6634 -1.0346 2.3498
Ti 7.3235 1.0346 0.0174
Ti 3.6645 -3.6368 0.0239
Ti 5.4935 -3.2815 2.3820
Ti 7.3235 -1.0346 2.3498
Ti 7.3224 -3.6368 0.0239
Ti 5.4935 -5.9743 0.0000
Bi 1.8468 1.3725 2.3265
Bi 1.8468 -1.3725 4.6589
Bi 5.4935 1.3354 2.3637
Bi 5.4935 -1.3354 0.0313
Bi 9.1401 1.3725 2.3265
Bi 9.1401 -1.3725 4.6589
H 5.4935 4.1196 1.8520
H 5.4935 -4.1196 4.1844
```

Calculated values
Its density of states at the Fermi level is 1.11 states/eV per atom. The symmetry is No. 36. The calculated density comes out at 8.55 g/cm³. The value obtained for the total energy is -6.400 eV per atom. For the calculated volume, the calculation gives 355.6 Å³ per cell.

Entry 8:
## TbDyTm2Sc2 (PBE-GGA)

Data for a geometry-optimized TbDyTm2Sc2 structure.

```
12
Lattice="6.7279 0.0000 0.0000 0.0000 9.3979 0.0000 0.0000 0.0000 5.4379" Properties=species:S:1:pos:R:3 pbc="T T T"
Tb 0.0000 0.0000 0.0000
Tb 3.3640 4.6989 2.7190
Dy 0.0000 4.6989 2.7190
Dy 3.3640 0.0000 0.0000
Tm 1.6825 1.5650 2.7190
Tm 1.6815 6.2640 0.0000
Tm 5.0464 3.1339 0.0000
Tm 5.0455 7.8329 2.7190
Sc 1.6798 3.1318 0.0000
Sc 1.6842 7.8308 2.7190
Sc 5.0437 1.5671 2.7190
Sc 5.0482 6.2660 0.0000
```

Calculated values
Its density of states at the Fermi level is 1.92 states/eV per atom. The formation energy from the elements is 76 meV per atom. The symmetry is No. 58. The calculated density comes out at 7.24 g/cm³. For the calculated volume, the calculation gives 343.8 Å³ per cell.

Entry 9:
## Pa2CrSnN6 (PBE-GGA)

Data for a geometry-optimized Pa2CrSnN6 structure.

```
10
Lattice="5.3244 0.0000 0.0000 0.0000 5.3244 0.0000 0.0000 0.0000 4.9505" Properties=species:S:1:pos:R:3 pbc="T T T"
Pa 0.0000 2.6622 0.0000
Pa 2.6622 0.0000 0.0000
Cr 0.0000 0.0000 2.9575
Sn 2.6622 2.6622 2.8535
N 0.0000 0.0000 1.2277
N 1.2728 1.2728 3.7234
N 1.2728 4.0516 3.7234
N 2.6622 2.6622 0.8400
N 4.0516 1.2728 3.7234
N 4.0516 4.0516 3.7234
```

Calculated values
Its density of states at the Fermi level is 0.38 states/eV per atom. The symmetry is No. 99. The calculated density comes out at 8.48 g/cm³. For the formation energy (no corrections), the calculation gives -0.624 eV per atom. For the calculated volume, the calculation gives 140.3 Å³ per cell.

Entry 10:
## La4TlCd2In (PBE-GGA)

Data for a geometry-optimized La4TlCd2In structure.

```
8
Lattice="2.7976 1.6152 9.1395 -2.7976 1.6152 9.1395 0.0000 -3.2304 9.1395" Properties=species:S:1:pos:R:3 pbc="T T T"
La 0.0000 0.0000 3.4166
La 0.0000 0.0000 10.2725
La 0.0000 0.0000 17.1459
La 0.0000 0.0000 24.0018
Tl 0.0000 0.0000 13.7092
Cd 0.0000 0.0000 6.8748
Cd 0.0000 0.0000 20.5436
In 0.0000 0.0000 0.0000
```

Calculated values
Its density of states at the Fermi level is 1.41 states/eV per atom. The formation energy from the elements is -410 meV per atom. The symmetry is No. 166. The calculated density comes out at 7.37 g/cm³. For the calculated volume, the calculation gives 247.8 Å³ per cell.

Entry 11:
## SrTm2N (PBE-GGA)

Data for a geometry-optimized SrTm2N structure.

```
4
Lattice="1.7467 1.0085 9.5873 -1.7467 1.0085 9.5873 0.0000 -2.0170 9.5873" Properties=species:S:1:pos:R:3 pbc="T T T"
Sr 0.0000 0.0000 0.0000
Tm 0.0000 0.0000 3.5054
Tm 0.0000 0.0000 25.2566
N 0.0000 0.0000 14.3810
```

Calculated values
Its density of states at the Fermi level is 0.83 states/eV per atom. The symmetry is No. 166. The calculated density comes out at 7.20 g/cm³. For the formation energy (no corrections), the calculation gives -0.624 eV per atom. For the calculated volume, the calculation gives 101.3 Å³ per cell.